A relaxed TmMgCoNi crystal. Source: the Alexandria database, functional GGA-PBE.

The density of states at the Fermi level comes out at 0.728 states/eV/atom. The value obtained for the density is 8.02 g/cm³. The formation energy is -15.6 kJ/mol of atoms.

Structure (POSCAR):
```
TmMgCoNi
1.0
0.0000 3.1803 3.1803
3.1803 0.0000 3.1803
3.1803 3.1803 0.0000
Tm Mg Co Ni
1 1 1 1
Cartesian
0.0000 0.0000 0.0000 Tm
3.1803 3.1803 3.1803 Mg
1.5902 1.5902 1.5902 Co
4.7705 4.7705 4.7705 Ni
```

A relaxed YMgCoNi crystal. Source: the Alexandria database, functional GGA-PBE.

The density of states at the Fermi level comes out at 0.752 states/eV/atom. The value obtained for the density is 5.74 g/cm³. The formation energy is -9.6 kJ/mol of atoms.

Structure (POSCAR):
```
YMgCoNi
1.0
0.0000 3.2204 3.2204
3.2204 0.0000 3.2204
3.2204 3.2204 0.0000
Y Mg Co Ni
1 1 1 1
Cartesian
0.0000 0.0000 0.0000 Y
3.2204 3.2204 3.2204 Mg
4.8307 4.8307 4.8307 Co
1.6102 1.6102 1.6102 Ni
```

A relaxed Mg2Zn5CoNi2 crystal. Source: the Alexandria database, functional GGA-PBE.

The density of states at the Fermi level comes out at 0.549 states/eV/atom. The value obtained for the density is 6.36 g/cm³. The formation energy is -13.4 kJ/mol of atoms.

Structure (POSCAR):
```
Mg2Zn5CoNi2
1.0
8.8161 0.0000 0.0000
0.0000 8.8161 0.0000
0.0000 0.0000 3.7083
Mg Zn Co Ni
4 10 2 4
Cartesian
1.5456 2.8624 0.0000 Mg
2.8624 7.2704 0.0000 Mg
5.9537 1.5456 0.0000 Mg
7.2704 5.9537 0.0000 Mg
0.0000 4.4080 1.8541 Zn
0.5850 7.0807 1.8541 Zn
1.7354 0.5850 1.8541 Zn
2.6726 4.9931 1.8541 Zn
3.8230 2.6726 1.8541 Zn
4.4080 0.0000 1.8541 Zn
4.9931 6.1434 1.8541 Zn
6.1434 3.8230 1.8541 Zn
7.0807 8.2311 1.8541 Zn
8.2311 1.7354 1.8541 Zn
0.0000 0.0000 0.0000 Co
4.4080 4.4080 0.0000 Co
1.0656 5.4737 0.0000 Ni
3.3424 1.0656 0.0000 Ni
5.4737 7.7505 0.0000 Ni
7.7505 3.3424 0.0000 Ni
```